Entry 1:
Computed, not measured: a PBEsol-optimized structure of RbHf3Cl at the meta-GGA SCAN level of DFT.

The formation energy (no corrections) is 0.78 eV/atom. For the total energy, the calculation gives -42.567 eV/atom. The value obtained for the mass density is 9.156 g cm⁻³. For the total magnetization, the calculation gives 0.00 μB per formula unit. Its space group is No. 221.

a = 4.9193 Å, b = 4.9193 Å, c = 4.9193 Å
α = 90.00°, β = 90.00°, γ = 90.00°
With the nearest neighbours (Å) after each atom.
Positions (direct):
Hf 0.0000 0.5000 0.0000  2 Cl 2.46
Hf 0.5000 0.0000 0.0000  2 Cl 2.46
Hf 0.0000 0.0000 0.5000  2 Cl 2.46
Rb 0.5000 0.5000 0.5000  12 Hf 3.48
Cl 0.0000 0.0000 0.0000  6 Hf 2.46

---

Entry 2:
Computed, not measured: a PBEsol-optimized structure of CaYO2 at the meta-GGA SCAN level of DFT.

The formation energy (no corrections) is -2.64 eV/atom. For the total energy, the calculation gives -15.136 eV/atom. The value obtained for the mass density is 3.649 g cm⁻³. Its distance to the lowest polymorph of the same formula is 0.00 eV/f.u. For the total magnetization, the calculation gives 0.51 μB per formula unit. Its space group is No. 166.

a = 3.5981 Å, b = 3.5981 Å, c = 6.8566 Å
α = 74.79°, β = 74.79°, γ = 60.00°
With the nearest neighbours (Å) after each atom.
Positions (direct):
Y 0.0000 0.0000 0.0000  2 O 2.07
Ca 0.5000 0.5000 0.5000  6 O 2.40
O 0.8946 0.8946 0.3162  1 Y 2.07
O 0.1054 0.1054 0.6838  1 Y 2.07

---

Entry 3:
Computed, not measured: a PBEsol-optimized structure of CsCd3Rh at the meta-GGA SCAN level of DFT.

For the total energy, the calculation gives -32.676 eV/atom. The value obtained for the mass density is 6.794 g cm⁻³. Its distance to the lowest polymorph of the same formula is 0.00 eV/f.u. For the total magnetization, the calculation gives 0.00 μB per formula unit. Its space group is No. 74.

a = 7.3560 Å, b = 7.3362 Å, c = 7.3362 Å
α = 60.27°, β = 59.91°, γ = 59.91°
With the nearest neighbours (Å) after each atom.
Positions (direct):
Rh 0.5000 0.0000 0.0000  6 Cd 2.63-2.64
Rh 0.0000 0.5000 0.5000  6 Cd 2.63-2.64
Cd 0.7500 0.8259 0.6741  2 Rh 2.64
Cd 0.7893 0.2107 0.7107  2 Rh 2.63
Cd 0.7107 0.7893 0.2893  2 Rh 2.63
Cd 0.2500 0.1741 0.3259  2 Rh 2.64
Cd 0.2893 0.2107 0.7107  2 Rh 2.63
Cd 0.2107 0.7893 0.2893  2 Rh 2.63
Cs 0.2500 0.6628 0.8372  12 Cd 3.60-3.87, 2 Rh 3.99
Cs 0.7500 0.3372 0.1628  12 Cd 3.60-3.87, 2 Rh 3.99

---

Entry 4:
Computed, not measured: a PBEsol-optimized structure of Y6Al43W4 at the meta-GGA SCAN level of DFT.

For the total energy, the calculation gives -14.998 eV/atom. The value obtained for the mass density is 4.425 g cm⁻³. For the total magnetization, the calculation gives 0.00 μB per formula unit. Its space group is No. 193.

a = 10.9266 Å, b = 10.9266 Å, c = 17.6312 Å
α = 90.00°, β = 90.00°, γ = 120.00°
With the nearest neighbours (Å) after each atom.
Positions (direct):
Al 0.7632 0.6057 0.3364  7 Al 2.70-2.98, 1 W 2.71
Al 0.4038 0.8521 0.7500  1 W 2.66, 7 Al 2.73-2.82
Al 0.2540 0.2540 0.9697  9 Al 2.71-2.97, 1 W 2.83
Al 0.5516 0.4038 0.2500  1 W 2.66, 7 Al 2.73-2.82
Al 0.0000 0.1601 0.8855  2 W 2.67-2.68, 7 Al 2.72-2.93
Al 0.8425 0.6057 0.8364  7 Al 2.70-2.98, 1 W 2.71
Al 0.4939 0.2469 0.0000  6 Al 2.71-2.83
Al 0.4939 0.2469 0.5000  6 Al 2.71-2.83
Al 0.4484 0.8521 0.2500  1 W 2.66, 7 Al 2.73-2.82
Al 0.0000 0.8399 0.3855  2 W 2.67-2.68, 7 Al 2.72-2.93
Al 0.8399 0.8399 0.6145  2 W 2.67-2.68, 7 Al 2.72-2.93
Al 0.4038 0.5516 0.2500  1 W 2.66, 7 Al 2.73-2.82
Al 0.2368 0.3943 0.8364  7 Al 2.70-2.98, 1 W 2.71
Al 0.5962 0.1479 0.2500  1 W 2.66, 7 Al 2.73-2.82
Al 0.1575 0.3943 0.1636  7 Al 2.70-2.98, 1 W 2.71
Al 0.8516 0.8516 0.2500  2 W 2.57, 6 Al 2.81
Al 0.6667 0.3333 0.8747  9 Al 2.70-2.82
Al 0.8521 0.4038 0.7500  1 W 2.66, 7 Al 2.73-2.82
Al 0.0000 0.2540 0.0303  9 Al 2.71-2.97, 1 W 2.83
Al 0.7460 0.7460 0.4697  9 Al 2.71-2.97, 1 W 2.83
Al 0.1601 0.1601 0.1145  2 W 2.67-2.68, 7 Al 2.72-2.93
Al 0.7531 0.2469 0.5000  6 Al 2.71-2.83
Al 0.0000 0.1601 0.6145  2 W 2.67-2.68, 7 Al 2.72-2.93
Al 0.6667 0.3333 0.6253  9 Al 2.70-2.82
Al 0.3943 0.1575 0.1636  7 Al 2.70-2.98, 1 W 2.71
Al 0.2469 0.4939 0.0000  6 Al 2.71-2.83
Al 0.1575 0.7632 0.8364  7 Al 2.70-2.98, 1 W 2.71
Al 0.2540 0.0000 0.0303  9 Al 2.71-2.97, 1 W 2.83
Al 0.3943 0.2368 0.6636  7 Al 2.70-2.98, 1 W 2.71
Al 0.4484 0.5962 0.7500  1 W 2.66, 7 Al 2.73-2.82
Al 0.3333 0.6667 0.8747  9 Al 2.70-2.82
Al 0.3333 0.6667 0.3747  9 Al 2.70-2.82
Al 0.8399 0.0000 0.1145  2 W 2.67-2.68, 7 Al 2.72-2.93
Al 0.7460 0.0000 0.9697  9 Al 2.71-2.97, 1 W 2.83
Al 0.6057 0.8425 0.8364  7 Al 2.70-2.98, 1 W 2.71
Al 0.5061 0.7531 0.0000  6 Al 2.71-2.83
Al 0.0000 0.7460 0.9697  9 Al 2.71-2.97, 1 W 2.83
Al 0.6057 0.8425 0.6636  7 Al 2.70-2.98, 1 W 2.71
Al 0.8425 0.6057 0.6636  7 Al 2.70-2.98, 1 W 2.71
Al 0.7531 0.5061 0.5000  6 Al 2.71-2.83
Al 0.1484 0.0000 0.2500  2 W 2.57, 6 Al 2.81
Al 0.6667 0.3333 0.3747  9 Al 2.70-2.82
Al 0.8425 0.2368 0.3364  7 Al 2.70-2.98, 1 W 2.71
Al 0.3943 0.2368 0.8364  7 Al 2.70-2.98, 1 W 2.71
Al 0.1575 0.3943 0.3364  7 Al 2.70-2.98, 1 W 2.71
Al 0.0000 0.2540 0.4697  9 Al 2.71-2.97, 1 W 2.83
Al 0.7632 0.6057 0.1636  7 Al 2.70-2.98, 1 W 2.71
Al 0.5962 0.4484 0.7500  1 W 2.66, 7 Al 2.73-2.82
Al 0.8399 0.0000 0.3855  2 W 2.67-2.68, 7 Al 2.72-2.93
Al 0.7460 0.7460 0.0303  9 Al 2.71-2.97, 1 W 2.83
Al 0.7632 0.1575 0.6636  7 Al 2.70-2.98, 1 W 2.71
Al 0.1601 0.1601 0.3855  2 W 2.67-2.68, 7 Al 2.72-2.93
Al 0.5516 0.1479 0.7500  1 W 2.66, 7 Al 2.73-2.82
Al 0.8399 0.8399 0.8855  2 W 2.67-2.68, 7 Al 2.72-2.93
Al 0.7531 0.5061 0.0000  6 Al 2.71-2.83
Al 0.0000 0.8399 0.1145  2 W 2.67-2.68, 7 Al 2.72-2.93
Al 0.0000 0.1484 0.2500  2 W 2.57, 6 Al 2.81
Al 0.0000 0.8516 0.7500  2 W 2.57, 6 Al 2.81
Al 0.2368 0.3943 0.6636  7 Al 2.70-2.98, 1 W 2.71
Al 0.2540 0.0000 0.4697  9 Al 2.71-2.97, 1 W 2.83
Al 0.2540 0.2540 0.5303  9 Al 2.71-2.97, 1 W 2.83
Al 0.7531 0.2469 0.0000  6 Al 2.71-2.83
Al 0.8516 0.0000 0.7500  2 W 2.57, 6 Al 2.81
Al 0.2368 0.8425 0.1636  7 Al 2.70-2.98, 1 W 2.71
Al 0.8425 0.2368 0.1636  7 Al 2.70-2.98, 1 W 2.71
Al 0.1479 0.5516 0.7500  1 W 2.66, 7 Al 2.73-2.82
Al 0.1575 0.7632 0.6636  7 Al 2.70-2.98, 1 W 2.71
Al 0.7632 0.1575 0.8364  7 Al 2.70-2.98, 1 W 2.71
Al 0.0000 0.7460 0.5303  9 Al 2.71-2.97, 1 W 2.83
Al 0.1601 0.0000 0.8855  2 W 2.67-2.68, 7 Al 2.72-2.93
Al 0.2368 0.8425 0.3364  7 Al 2.70-2.98, 1 W 2.71
Al 0.3333 0.6667 0.6253  9 Al 2.70-2.82
Al 0.2469 0.7531 0.5000  6 Al 2.71-2.83
Al 0.3333 0.6667 0.1253  9 Al 2.70-2.82
Al 0.1601 0.0000 0.6145  2 W 2.67-2.68, 7 Al 2.72-2.93
Al 0.2469 0.4939 0.5000  6 Al 2.71-2.83
Al 0.8521 0.4484 0.2500  1 W 2.66, 7 Al 2.73-2.82
Al 0.1479 0.5962 0.2500  1 W 2.66, 7 Al 2.73-2.82
Al 0.7460 0.0000 0.5303  9 Al 2.71-2.97, 1 W 2.83
Al 0.5061 0.7531 0.5000  6 Al 2.71-2.83
Al 0.1484 0.1484 0.7500  2 W 2.57, 6 Al 2.81
Al 0.6057 0.7632 0.1636  7 Al 2.70-2.98, 1 W 2.71
Al 0.6057 0.7632 0.3364  7 Al 2.70-2.98, 1 W 2.71
Al 0.3943 0.1575 0.3364  7 Al 2.70-2.98, 1 W 2.71
Al 0.6667 0.3333 0.1253  9 Al 2.70-2.82
Al 0.2469 0.7531 0.0000  6 Al 2.71-2.83
Y 0.4678 0.4678 0.0956  15 Al 3.04-3.38
Y 0.5322 0.0000 0.0956  15 Al 3.04-3.38
Y 0.5322 0.5322 0.9044  15 Al 3.04-3.38
Y 0.5322 0.0000 0.4044  15 Al 3.04-3.38
Y 0.0000 0.4678 0.9044  15 Al 3.04-3.38
Y 0.4678 0.4678 0.4044  15 Al 3.04-3.38
Y 0.0000 0.5322 0.4044  15 Al 3.04-3.38
Y 0.4678 0.0000 0.9044  15 Al 3.04-3.38
Y 0.4678 0.0000 0.5956  15 Al 3.04-3.38
Y 0.5322 0.5322 0.5956  15 Al 3.04-3.38
Y 0.0000 0.4678 0.5956  15 Al 3.04-3.38
Y 0.0000 0.5322 0.0956  15 Al 3.04-3.38
W 0.7293 0.7293 0.7500  10 Al 2.57-2.71
W 0.2707 0.2707 0.2500  10 Al 2.57-2.71
W 0.7293 0.0000 0.2500  10 Al 2.57-2.71
W 0.0000 0.0000 0.5000  12 Al 2.67-2.83
W 0.0000 0.0000 0.0000  12 Al 2.67-2.83
W 0.0000 0.2707 0.7500  10 Al 2.57-2.71
W 0.2707 0.0000 0.7500  10 Al 2.57-2.71
W 0.0000 0.7293 0.2500  10 Al 2.57-2.71

---

Entry 5:
Computed, not measured: a PBEsol-optimized structure of LaTeCl at the meta-GGA SCAN level of DFT.

The formation energy (no corrections) is -2.23 eV/atom. For the total energy, the calculation gives -31.675 eV/atom. The value obtained for the mass density is 6.105 g cm⁻³. Its distance to the lowest polymorph of the same formula is 0.00 eV/f.u. For the total magnetization, the calculation gives 0.00 μB per formula unit. Its space group is No. 129.

a = 4.4754 Å, b = 4.4754 Å, c = 8.2015 Å
α = 90.00°, β = 90.00°, γ = 90.00°
With the nearest neighbours (Å) after each atom.
Positions (direct):
Te 0.5000 0.0000 0.6376  5 La 3.26-3.32
Te 0.0000 0.5000 0.3624  5 La 3.26-3.32
Cl 0.5000 0.5000 0.0000  4 La 2.98, 4 Cl 3.16
Cl 0.0000 0.0000 0.0000  4 La 2.98, 4 Cl 3.16
La 0.0000 0.5000 0.7602  4 Cl 2.98, 5 Te 3.26-3.32
La 0.5000 0.0000 0.2398  4 Cl 2.98, 5 Te 3.26-3.32

---

Entry 6:
Computed, not measured: a PBEsol-optimized structure of Ni3HAu at the meta-GGA SCAN level of DFT.

For the total energy, the calculation gives -22.541 eV/atom. The value obtained for the mass density is 6.257 g cm⁻³. Its distance to the lowest polymorph of the same formula is 8.23 eV/f.u. For the total magnetization, the calculation gives 4.64 μB per formula unit. Its space group is No. 221.

a = 4.6304 Å, b = 4.6304 Å, c = 4.6304 Å
α = 90.00°, β = 90.00°, γ = 90.00°
With the nearest neighbours (Å) after each atom.
Positions (direct):
Ni 0.5000 0.0000 0.0000  2 Au 2.32
Ni 0.0000 0.0000 0.5000  2 Au 2.32
Ni 0.0000 0.5000 0.0000  2 Au 2.32
Au 0.0000 0.0000 0.0000  6 Ni 2.32
H 0.5000 0.5000 0.5000  12 Ni 3.27

---

Entry 7:
Computed, not measured: a PBEsol-optimized structure of CrPt2 at the meta-GGA SCAN level of DFT.

For the total energy, the calculation gives -53.351 eV/atom. The value obtained for the mass density is 17.193 g cm⁻³. For the total magnetization, the calculation gives 3.11 μB per formula unit. Its space group is No. 141.

a = 3.8230 Å, b = 3.8230 Å, c = 11.9961 Å
α = 99.17°, β = 99.17°, γ = 90.00°
With the nearest neighbours (Å) after each atom.
Positions (direct):
Pt 0.6650 0.1650 0.3301  6 Pt 2.68-2.77, 6 Cr 2.70-2.73
Pt 0.9993 0.4993 0.9986  4 Cr 2.69-2.71, 8 Pt 2.70-2.77
Pt 0.2507 0.2507 0.5014  4 Cr 2.69-2.71, 8 Pt 2.70-2.77
Pt 0.5850 0.5850 0.1699  6 Pt 2.68-2.77, 6 Cr 2.70-2.73
Pt 0.5007 0.0007 0.0014  4 Cr 2.69-2.71, 8 Pt 2.70-2.77
Pt 0.8350 0.3350 0.6699  6 Pt 2.68-2.77, 6 Cr 2.70-2.73
Pt 0.4150 0.4150 0.8301  6 Pt 2.68-2.77, 6 Cr 2.70-2.73
Pt 0.7493 0.7493 0.4986  4 Cr 2.69-2.71, 8 Pt 2.70-2.77
Cr 0.9185 0.9185 0.8370  10 Pt 2.69-2.73, 2 Cr 2.79
Cr 0.1685 0.6685 0.3370  10 Pt 2.69-2.73, 2 Cr 2.79
Cr 0.0815 0.0815 0.1630  10 Pt 2.69-2.73, 2 Cr 2.79
Cr 0.3315 0.8315 0.6630  10 Pt 2.69-2.73, 2 Cr 2.79

---

Entry 8:
Computed, not measured: a PBEsol-optimized structure of IBrO2F at the meta-GGA SCAN level of DFT.

The formation energy (no corrections) is 0.42 eV/atom. For the total energy, the calculation gives -14.017 eV/atom. The value obtained for the mass density is 3.967 g cm⁻³. For the total magnetization, the calculation gives 0.00 μB per formula unit. Its space group is No. 123.

a = 3.7377 Å, b = 3.7377 Å, c = 7.7247 Å
α = 90.00°, β = 90.00°, γ = 90.00°
With the nearest neighbours (Å) after each atom.
Positions (direct):
I 0.0000 0.0000 0.5000  4 F 2.64
Br 0.0000 0.0000 0.0000  4 O 1.87
F 0.5000 0.5000 0.5000  4 I 2.64
O 0.0000 0.5000 0.0000  2 Br 1.87
O 0.5000 0.0000 0.0000  2 Br 1.87

---

The lowest mass density belongs to which entry? CaYO2

---

Look up the mass density of the sixth one. 6.257 g cm⁻³

---

What is the mass density in the fifth record? 6.105 g cm⁻³